Na5Mn2P2C2O14 | PBE with a Hubbard U | optimized geometry

POSCAR file:
```
Na5Mn2P2C2O14
1.0
-1.4609 -0.9548 4.9445
2.1137 -8.7551 -0.9922
12.4978 2.4766 4.2045
O P Na Mn C
28 4 10 4 4
direct
0.2339 0.6663 0.9723
0.5329 0.1485 0.3766
0.4895 0.8440 0.1259
0.9592 0.1233 0.3763
0.5930 0.5687 0.3743
0.2165 0.6739 0.2770
0.2892 0.0792 0.6240
0.7108 0.9208 0.3760
0.7661 0.3337 0.0277
0.9304 0.1568 0.8771
0.5983 0.5507 0.8735
0.7932 0.3215 0.5378
0.4671 0.8515 0.6234
0.7294 0.9384 0.8693
0.0696 0.8432 0.1229
0.8315 0.5770 0.1200
0.2706 0.0616 0.1307
0.8235 0.5718 0.6273
0.4070 0.4313 0.6257
0.5105 0.1560 0.8741
0.1685 0.4230 0.8800
0.2184 0.6669 0.7854
0.4017 0.4493 0.1265
0.1765 0.4282 0.3727
0.0408 0.8767 0.6237
0.7835 0.3261 0.7230
0.2068 0.6785 0.4622
0.7816 0.3331 0.2146
0.7036 0.4163 0.6278
0.2964 0.5837 0.3722
0.7028 0.4239 0.1227
0.2972 0.5761 0.8773
0.7568 0.0800 0.6259
0.7683 0.7697 0.9965
0.2473 0.2589 0.5017
0.7599 0.7496 0.2494
0.2317 0.2303 0.0035
0.7590 0.7518 0.7550
0.7527 0.7411 0.4983
0.2432 0.9200 0.3741
0.2401 0.2504 0.7506
0.2410 0.2482 0.2450
0.7731 0.3580 0.8770
0.2211 0.6401 0.6261
0.7789 0.3599 0.3739
0.2269 0.6420 0.1230
0.2658 0.9370 0.6243
0.7342 0.0630 0.3757
0.7172 0.0770 0.8740
0.2828 0.9230 0.1260
```

* size of the total moment: 9.0 μB per formula unit
* raw total energy: -6.759 eV/atom